Below is crystalline La2Fe2H at its relaxed geometry, with properties calculated at the PBE level.

Calculated values
relative energy among the computed polymorphs = 0 meV/atom
SG = No. 127

Cell: 7.6880 7.6880 3.6061 Å, 90.00 90.00 90.00°
Last column: magnetic moment on the atom in μB.
Element x y z (fractional)
H1 0.0000 0.0000 0.0000  0.02
H2 0.5000 0.5000 0.0000  0.02
Fe1 0.4008 0.9008 0.0000  1.90
Fe2 0.9008 0.5992 0.0000  1.90
Fe3 0.5992 0.0992 0.0000  1.90
Fe4 0.0992 0.4008 0.0000  1.90
La1 0.1931 0.6931 0.5000  -0.20
La2 0.6931 0.8069 0.5000  -0.19
La3 0.8069 0.3069 0.5000  -0.20
La4 0.3069 0.1931 0.5000  -0.19

***

Below is crystalline LaFe5H7 at its relaxed geometry, with properties calculated at the PBE level.

Calculated values
relative energy among the computed polymorphs = 10 meV/atom
SG = No. 186

Cell: 5.6195 5.6195 8.2770 Å, 90.00 90.00 120.00°
Last column: magnetic moment on the atom in μB.
Element x y z (fractional)
La1 0.0000 0.0000 0.0230  -0.05
La2 0.0000 0.0000 0.5230  -0.05
Fe1 0.9762 0.4881 0.7728  2.46
Fe2 0.3333 0.6667 0.5148  2.51
Fe3 0.6667 0.3333 0.4879  2.46
Fe4 0.5119 0.4881 0.7728  2.46
Fe5 0.6667 0.3333 0.0148  2.51
Fe6 0.4881 0.9762 0.2728  2.46
Fe7 0.0238 0.5119 0.2728  2.46
Fe8 0.3333 0.6667 0.9879  2.46
Fe9 0.5119 0.0238 0.7728  2.46
Fe10 0.4881 0.5119 0.2728  2.46
H1 0.8602 0.7204 0.7731  0.00
H2 0.8602 0.1398 0.7731  0.00
H3 0.1398 0.8602 0.2731  0.00
H4 0.3333 0.6667 0.7656  -0.02
H5 0.0064 0.5032 0.0627  -0.01
H6 0.7204 0.8602 0.2731  0.00
H7 0.5032 0.0064 0.5627  -0.01
H8 0.9936 0.4968 0.5627  -0.01
H9 0.1398 0.2796 0.2731  0.00
H10 0.6667 0.3333 0.2656  -0.02
H11 0.4968 0.5032 0.0627  -0.01
H12 0.4968 0.9936 0.0627  -0.01
H13 0.5032 0.4968 0.5627  -0.01
H14 0.2796 0.1398 0.7731  0.00

***

Below is crystalline LaFe3H at its relaxed geometry, with properties calculated at the PBE level.

Calculated values
relative energy among the computed polymorphs = 1657 meV/atom
SG = No. 221

Cell: 4.6326 4.6326 4.6326 Å, 90.00 90.00 90.00°
Last column: magnetic moment on the atom in μB.
Element x y z (fractional)
H1 0.5000 0.5000 0.5000  0.18
Fe1 0.0000 0.5000 0.0000  2.12
Fe2 0.0000 0.0000 0.5000  2.13
Fe3 0.5000 0.0000 0.0000  1.88
La1 0.0000 0.0000 0.0000  -0.37

***

Below is crystalline LaFeH at its relaxed geometry, with properties calculated at the PBE level.

Calculated values
electronic total energy = -69.5 eV/cell
SG = No. 12

Cell: 3.9562 6.8758 8.0349 Å, 73.40 90.00 90.00°
Last column: magnetic moment on the atom in μB.
Element x y z (fractional)
H1 0.4999 0.6997 0.4002  0.00
H2 0.9999 0.8003 0.5998  0.00
H3 0.5001 0.3003 0.5998  0.00
H4 0.0001 0.1997 0.4002  0.00
Fe1 0.5000 0.8337 0.9997  1.51
Fe2 0.0000 0.6663 0.0003  1.51
Fe3 0.5000 0.1663 0.0003  1.51
Fe4 0.0000 0.3337 0.9997  1.51
La1 0.4999 0.5916 0.7246  -0.20
La2 0.9999 0.9084 0.2754  -0.20
La3 0.5001 0.4084 0.2754  -0.20
La4 0.0001 0.0916 0.7246  -0.20

***

Below is crystalline LaFeH5 at its relaxed geometry, with properties calculated at the PBE level.

Calculated values
electronic total energy = -65.1 eV/cell
SG = No. 71

Cell: 4.5800 4.5800 7.2527 Å, 66.68 66.68 66.15°
Last column: magnetic moment on the atom in μB.
Element x y z (fractional)
La1 0.5000 0.5000 0.7500  -0.03
La2 0.5000 0.5000 0.2500  -0.03
Fe1 0.0000 0.0000 0.0000  0.40
Fe2 0.0000 0.0000 0.5000  0.40
H1 0.3918 0.9304 0.9195  0.00
H2 0.3919 0.9301 0.4195  0.00
H3 0.9304 0.3918 0.4195  0.00
H4 0.0000 0.0000 0.7500  -0.01
H5 0.0699 0.6081 0.0805  0.00
H6 0.9301 0.3919 0.9195  0.00
H7 0.0000 0.0000 0.2500  -0.01
H8 0.0696 0.6082 0.5805  0.00
H9 0.6081 0.0699 0.5805  0.00
H10 0.6082 0.0696 0.0805  0.00

***

Below is crystalline La2FeH at its relaxed geometry, with properties calculated at the PBE level.

Calculated values
relative energy among the computed polymorphs = 13 meV/atom
SG = No. 225

Cell: 4.7822 4.7822 4.7822 Å, 60.00 60.00 60.00°
Element x y z (fractional)
H1 0.0000 0.0000 0.0000
Fe1 0.5000 0.5000 0.5000
La1 0.2500 0.2500 0.2500
La2 0.7500 0.7500 0.7500